[1]
Density functional theory data (PBE) for an optimized crystal structure of Tb7Dy4In.

Unit cell a=6.719 b=6.719 c=12.390 alpha=112.94 beta=112.94 gamma=51.84
Sites, in units of the cell vectors:
Tb (0.000, 0.000, 0.000)
Tb (0.131, 0.131, 0.475)
Tb (0.299, 0.299, 0.079)
Tb (0.404, 0.404, 0.723)
Tb (0.596, 0.596, 0.277)
Tb (0.701, 0.701, 0.921)
Tb (0.869, 0.869, 0.525)
Dy (0.135, 0.135, 0.770)
Dy (0.352, 0.352, 0.376)
Dy (0.648, 0.648, 0.624)
Dy (0.865, 0.865, 0.230)
In (0.500, 0.500, 0.000)

Computed properties:
energy above the lowest structure with this stoichiometry	208	meV per atom
calculated formation energy	188	meV/atom
SG	C2/m, No. 12

[2]
Density functional theory data (PBE) for an optimized crystal structure of Tb5DyIn3.

Unit cell a=9.378 b=9.378 c=6.744 alpha=90.00 beta=90.00 gamma=120.00
Sites, in units of the cell vectors:
Tb (0.000, 0.334, 0.250)
Tb (0.000, 0.666, 0.750)
Tb (0.333, 0.667, 0.000)
Tb (0.333, 0.667, 0.500)
Tb (0.334, 0.000, 0.250)
Tb (0.334, 0.334, 0.750)
Tb (0.666, 0.000, 0.750)
Tb (0.666, 0.666, 0.250)
Tb (0.667, 0.333, 0.000)
Tb (0.667, 0.333, 0.500)
Dy (0.000, 0.000, 0.000)
Dy (0.000, 0.000, 0.500)
In (0.000, 0.333, 0.750)
In (0.000, 0.667, 0.250)
In (0.333, 0.000, 0.750)
In (0.333, 0.333, 0.250)
In (0.667, 0.000, 0.250)
In (0.667, 0.667, 0.750)

Computed properties:
calculated formation energy	-354	meV/atom
SG	P6_3/mcm, No. 193